1.
Ca2PbSe | meta-GGA SCAN | single point on PBEsol structure

Cell: 8.5970 8.5970 8.5970 Å, 26.76 26.76 26.76°
Fractional coordinates of all 4 atoms:
Ca  0.2368  0.2368  0.2368
Ca  0.7632  0.7632  0.7632
Pb  0.0000  0.0000  0.0000
Se  0.5000  0.5000  0.5000

Computed properties:
- Total DFT energy (no corrections): -120.755 eV/cell
- Formation energy without anion corrections: -1.39 eV/atom
- Symmetry: R-3m, No. 166

2.
CaTaPbSe2 | meta-GGA SCAN | single point on PBEsol structure

Cell: 5.4155 5.4155 5.5340 Å, 90.00 90.00 90.00°
Fractional coordinates of all 5 atoms:
Ca  0.0000  0.0000  0.0000
Ta  0.5000  0.5000  0.0000
Pb  0.0000  0.0000  0.5000
Se  0.0000  0.5000  0.5000
Se  0.5000  0.0000  0.5000

Computed properties:
- Total DFT energy (no corrections): -185.866 eV/cell
- Formation energy without anion corrections: 1.26 eV/atom
- Symmetry: P4/mmm, No. 123

3.
Ca2SiPb | meta-GGA SCAN | single point on PBEsol structure

Cell: 3.3661 3.3661 8.8053 Å, 90.00 90.00 90.00°
Fractional coordinates of all 4 atoms:
Ca  0.0000  0.0000  0.2186
Ca  0.0000  0.0000  0.7814
Si  0.5000  0.5000  0.0000
Pb  0.5000  0.5000  0.5000

Computed properties:
- Total DFT energy (no corrections): -107.085 eV/cell
- Formation energy without anion corrections: -0.49 eV/atom
- Symmetry: P4/mmm, No. 123
- Energy above the most stable polymorph in this dataset: 0.000 eV per atom

4.
Ca2SiPb | meta-GGA SCAN | single point on PBEsol structure

Cell: 5.5421 5.5421 5.5421 Å, 129.36 129.36 74.44°
Fractional coordinates of all 4 atoms:
Ca  0.2500  0.7500  0.5000
Ca  0.7500  0.2500  0.5000
Si  0.0000  0.0000  0.0000
Pb  0.5000  0.5000  0.0000

Computed properties:
- Total DFT energy (no corrections): -106.922 eV/cell
- Formation energy without anion corrections: -0.45 eV/atom
- Symmetry: I4/mmm, No. 139
- Energy above the most stable polymorph in this dataset: 0.041 eV per atom

5.
Ca2SiPb | meta-GGA SCAN | single point on PBEsol structure

Cell: 4.1197 4.1197 6.4940 Å, 90.00 90.00 90.00°
Fractional coordinates of all 4 atoms:
Ca  0.0000  0.0000  0.0000
Ca  0.5000  0.5000  0.3238
Si  0.5000  0.5000  0.7886
Pb  0.0000  0.0000  0.5479

Computed properties:
- Total DFT energy (no corrections): -105.368 eV/cell
- Formation energy without anion corrections: -0.06 eV/atom
- Symmetry: P4mm, No. 99
- Energy above the most stable polymorph in this dataset: 0.429 eV per atom

6.
CaSiPb2 | meta-GGA SCAN | single point on PBEsol structure

Cell: 3.4239 5.4277 5.5969 Å, 90.00 92.20 90.00°
Fractional coordinates of all 4 atoms:
Ca  0.0000  0.0000  0.0000
Si  0.5000  0.0000  0.5000
Pb  0.3116  0.5000  0.7417
Pb  0.6884  0.5000  0.2583

Computed properties:
- Total DFT energy (no corrections): -171.243 eV/cell
- Formation energy without anion corrections: 0.00 eV/atom
- Symmetry: P2/m, No. 10